Record 1
# KZrSiS3 PBE optimized geometry
# Total DFT energy (no corrections)   -5.408 eV per atom
# Magnetic moment   0.50 μB per formula unit
# Crystal system   orthorhombic
data_KZrSiS3
_chemical_formula_sum 'K4 Zr4 Si4 S12'
_symmetry_space_group_name_H-M 'C m c m'
_symmetry_Int_Tables_number 63
_symmetry_space_group_name_Hall '-C 2c 2'
_cell_length_a 4.153
_cell_length_b 13.673
_cell_length_c 9.948
_cell_angle_alpha 90.00
_cell_angle_beta 90.00
_cell_angle_gamma 90.00
loop_
_atom_site_label
_atom_site_type_symbol
_atom_site_fract_x
_atom_site_fract_y
_atom_site_fract_z
_atom_site_occupancy
K1 K 0.000 0.237 0.250 1
Zr1 Zr 0.000 0.500 0.000 1
Si1 Si 0.000 0.025 0.750 1
S1 S 0.000 0.123 0.571 1
S2 S 0.000 0.455 0.750 1

Record 2
# Zr2Co PBE optimized geometry
# Total DFT energy (no corrections)   -8.092 eV per atom
# Magnetic moment   0.00 μB per formula unit
# Crystal system   orthorhombic
# Formation enthalpy at 0 K   -0.03 eV/atom
data_Zr2Co
_chemical_formula_sum 'Zr8 Co4'
_symmetry_space_group_name_H-M 'P m m n'
_symmetry_Int_Tables_number 59
_cell_length_a 4.341
_cell_length_b 9.337
_cell_length_c 5.504
_cell_angle_alpha 90.00
_cell_angle_beta 90.00
_cell_angle_gamma 90.00
loop_
_symmetry_equiv_pos_as_xyz
'x,y,z'
'-x,-y,-z'
'-x+1/2,-y+1/2,z'
'x+1/2,y+1/2,-z'
'x+1/2,-y,-z'
'-x+1/2,y,z'
'-x,y+1/2,-z'
'x,-y+1/2,z'
loop_
_atom_site_label
_atom_site_type_symbol
_atom_site_fract_x
_atom_site_fract_y
_atom_site_fract_z
_atom_site_occupancy
Zr1 Zr 0.250 0.042 0.180 1
Zr2 Zr 0.250 0.250 0.628 1
Zr3 Zr 0.250 0.750 0.966 1
Co1 Co 0.250 0.603 0.569 1

Record 3
# CsTaCo PBE optimized geometry
# Total DFT energy (no corrections)   -3.812 eV per atom
# Magnetic moment   0.01 μB per formula unit
# Crystal system   cubic
data_CsTaCo
_chemical_formula_sum 'Cs4 Ta4 Co4'
_symmetry_space_group_name_H-M 'F -4 3 m'
_symmetry_Int_Tables_number 216
_symmetry_space_group_name_Hall 'F -4 2 3'
_cell_length_a 6.355
_cell_length_b 6.355
_cell_length_c 6.355
_cell_angle_alpha 90.00
_cell_angle_beta 90.00
_cell_angle_gamma 90.00
loop_
_atom_site_label
_atom_site_type_symbol
_atom_site_fract_x
_atom_site_fract_y
_atom_site_fract_z
_atom_site_occupancy
Cs1 Cs 0.000 0.000 0.000 1
Ta1 Ta 0.250 0.250 0.250 1
Co1 Co 0.250 0.250 0.750 1

Record 4
# HfMgAu PBE optimized geometry
# Total DFT energy (no corrections)   -4.598 eV per atom
# Magnetic moment   0.02 μB per formula unit
# Crystal system   cubic
data_HfMgAu
_chemical_formula_sum 'Hf4 Mg4 Au4'
_symmetry_space_group_name_H-M 'F -4 3 m'
_symmetry_Int_Tables_number 216
_symmetry_space_group_name_Hall 'F -4 2 3'
_cell_length_a 6.500
_cell_length_b 6.500
_cell_length_c 6.500
_cell_angle_alpha 90.00
_cell_angle_beta 90.00
_cell_angle_gamma 90.00
loop_
_atom_site_label
_atom_site_type_symbol
_atom_site_fract_x
_atom_site_fract_y
_atom_site_fract_z
_atom_site_occupancy
Hf1 Hf 0.000 0.000 0.000 1
Mg1 Mg 0.250 0.250 0.250 1
Au1 Au 0.250 0.250 0.750 1

Record 5
# LiSnAuO3 PBE optimized geometry
# Total DFT energy (no corrections)   -5.304 eV per atom
# Crystal system   orthorhombic
data_LiSnAuO3
_chemical_formula_sum 'Li4 Sn4 Au4 O12'
_symmetry_space_group_name_H-M 'P n m a'
_symmetry_Int_Tables_number 62
_cell_length_a 10.959
_cell_length_b 3.154
_cell_length_c 8.814
_cell_angle_alpha 90.00
_cell_angle_beta 90.00
_cell_angle_gamma 90.00
loop_
_symmetry_equiv_pos_as_xyz
'x,y,z'
'-x,-y,-z'
'-x+1/2,-y,z+1/2'
'x+1/2,y,-z+1/2'
'x+1/2,-y+1/2,-z+1/2'
'-x+1/2,y+1/2,z+1/2'
'-x,y+1/2,-z'
'x,-y+1/2,z'
loop_
_atom_site_label
_atom_site_type_symbol
_atom_site_fract_x
_atom_site_fract_y
_atom_site_fract_z
_atom_site_occupancy
Li1 Li 0.226 0.250 0.161 1
Sn1 Sn 0.039 0.250 0.843 1
Au1 Au 0.115 0.250 0.476 1
O1 O 0.062 0.250 0.250 1
O2 O 0.103 0.750 0.983 1
O3 O 0.179 0.250 0.697 1

Record 6
# HoNbBr2O2 PBE optimized geometry
# Total DFT energy (no corrections)   -6.697 eV per atom
# Magnetic moment   2.01 μB per formula unit
# Crystal system   tetragonal
data_HoNbBr2O2
_chemical_formula_sum 'Ho1 Nb1 Br2 O2'
_symmetry_space_group_name_H-M 'P 4 m m'
_symmetry_Int_Tables_number 99
_cell_length_a 3.738
_cell_length_b 3.738
_cell_length_c 8.329
_cell_angle_alpha 90.00
_cell_angle_beta 90.00
_cell_angle_gamma 90.00
loop_
_symmetry_equiv_pos_as_xyz
'x,y,z'
'-y,x,z'
'-x,-y,z'
'y,-x,z'
'-x,y,z'
'y,x,z'
'x,-y,z'
'-y,-x,z'
loop_
_atom_site_label
_atom_site_type_symbol
_atom_site_fract_x
_atom_site_fract_y
_atom_site_fract_z
_atom_site_occupancy
Ho1 Ho 0.000 0.000 0.000 1
Nb1 Nb 0.500 0.500 0.731 1
Br1 Br 0.000 0.000 0.540 1
Br2 Br 0.500 0.500 0.195 1
O1 O 0.000 0.500 0.859 1

Record 7
# HgPb2O2F2 PBE optimized geometry
# Total DFT energy (no corrections)   -4.411 eV per atom
# Crystal system   monoclinic
data_HgPb2O2F2
_chemical_formula_sum 'Hg2 Pb4 O4 F4'
_symmetry_space_group_name_H-M 'C 1 2/m 1'
_symmetry_Int_Tables_number 12
_cell_length_a 11.884
_cell_length_b 3.698
_cell_length_c 6.730
_cell_angle_alpha 90.00
_cell_angle_beta 123.19
_cell_angle_gamma 90.00
loop_
_symmetry_equiv_pos_as_xyz
'x,y,z'
'-x,-y,-z'
'-x,y,-z'
'x,-y,z'
'x+1/2,y+1/2,z'
'-x+1/2,-y+1/2,-z'
'-x+1/2,y+1/2,-z'
'x+1/2,-y+1/2,z'
loop_
_atom_site_label
_atom_site_type_symbol
_atom_site_fract_x
_atom_site_fract_y
_atom_site_fract_z
_atom_site_occupancy
Hg1 Hg 0.000 0.000 0.000 1
Pb1 Pb 0.169 0.000 0.702 1
O1 O 0.192 0.000 0.082 1
F1 F 0.062 0.500 0.347 1

Record 8
# LiAgHg PBE optimized geometry
# Total DFT energy (no corrections)   -1.742 eV per atom
# Crystal system   cubic
data_LiAgHg
_chemical_formula_sum 'Li4 Ag4 Hg4'
_symmetry_space_group_name_H-M 'F -4 3 m'
_symmetry_Int_Tables_number 216
_symmetry_space_group_name_Hall 'F -4 2 3'
_cell_length_a 6.232
_cell_length_b 6.232
_cell_length_c 6.232
_cell_angle_alpha 90.00
_cell_angle_beta 90.00
_cell_angle_gamma 90.00
loop_
_atom_site_label
_atom_site_type_symbol
_atom_site_fract_x
_atom_site_fract_y
_atom_site_fract_z
_atom_site_occupancy
Li1 Li 0.000 0.000 0.000 1
Ag1 Ag 0.250 0.250 0.750 1
Hg1 Hg 0.250 0.250 0.250 1